1.
Entry from Alexandria via LeMat-Bulk: a relaxed structure of AlP7 (PBE).

Unit cell a=5.5012 b=5.5012 c=5.5012 alpha=60.00 beta=60.00 gamma=60.00
Fractional positions:
1 P 0.5000 0.5000 0.0000
2 P 0.5000 0.0000 0.5000
3 P 0.0000 0.5000 0.0000
4 Al 0.0000 0.0000 0.0000
5 P 0.5000 0.0000 0.0000
6 P 0.5000 0.5000 0.5000
7 P 0.0000 0.5000 0.5000
8 P 0.0000 0.0000 0.5000

ΔH_f (0 K): 716 meV/atom
total magnetization: 0.0 μB per formula unit

---

2.
Entry from Alexandria via LeMat-Bulk: a relaxed structure of SrYRe2 (PBE).

Unit cell a=4.9896 b=4.9896 c=4.9896 alpha=60.00 beta=60.00 gamma=60.00
Each line ends with the local moment (μB).
Fractional positions:
1 Y 0.5000 0.5000 0.5000  0.01
2 Sr 0.0000 0.0000 0.0000  0.03
3 Re 0.7500 0.7500 0.7500  0.68
4 Re 0.2500 0.2500 0.2500  0.68

E above lowest polymorph: 0.9867 eV per atom
ΔH_f (0 K): 1227 meV/atom
total magnetization: 1.6 μB per formula unit

---

What is the total magnetization in the first record?
0.0 μB per formula unit

---

Which formula does entry 2 have?
SrYRe2

---

What is the formula in the first record?
AlP7

---

Among the records above, which one has the highest ΔH_f (0 K)?
SrYRe2